No. 1
# SrZn2Os

A geometry-optimized SrZn2Os structure (PBE, Alexandria via LeMat-Bulk).

Computed properties:
ΔH_f (0 K)   0.30 eV per atom
Size of the total moment   0.00 μB per formula unit
Space group   No. 6

The structure in POSCAR format:
```
SrZn2Os
1.0
3.080 0.000 0.000
0.000 3.996 0.000
-1.514 0.000 6.803
Sr Zn Os
1 2 1
direct
0.000 0.000 0.000
0.663 0.500 0.329
0.782 0.000 0.574
0.318 0.500 0.647
```


No. 2
# SrZnOs3

A geometry-optimized SrZnOs3 structure (PBE, Alexandria via LeMat-Bulk).

Computed properties:
ΔH_f (0 K)   3.59 eV per atom
Energy relative to the lowest polymorph listed for this composition   1918 meV/atom
Size of the total moment   3.64 μB per formula unit
Space group   No. 221

The structure in POSCAR format:
```
SrZnOs3
1.0
4.882 0.000 0.000
0.000 4.882 0.000
0.000 0.000 4.882
Sr Zn Os
1 1 3
direct
0.000 0.000 0.000
0.500 0.500 0.500
0.000 0.000 0.500
0.000 0.500 0.000
0.500 0.000 0.000
```


No. 3
# SrZn2Os

A geometry-optimized SrZn2Os structure (PBE, Alexandria via LeMat-Bulk).

Computed properties:
ΔH_f (0 K)   0.24 eV per atom
Size of the total moment   0.00 μB per formula unit
Space group   No. 123

The structure in POSCAR format:
```
SrZn2Os
1.0
3.390 0.000 0.000
0.000 3.390 0.000
0.000 0.000 6.696
Sr Zn Os
1 2 1
direct
0.000 0.000 0.000
0.500 0.500 0.317
0.500 0.500 0.683
0.000 0.000 0.500
```


No. 4
# Sr2ZnOs

A geometry-optimized Sr2ZnOs structure (PBE, Alexandria via LeMat-Bulk).

Computed properties:
ΔH_f (0 K)   0.59 eV per atom
Size of the total moment   0.00 μB per formula unit
Space group   No. 216

The structure in POSCAR format:
```
Sr2ZnOs
1.0
0.000 3.606 3.606
3.606 0.000 3.606
3.606 3.606 0.000
Sr Zn Os
2 1 1
direct
0.000 0.000 0.000
0.250 0.250 0.250
0.750 0.750 0.750
0.500 0.500 0.500
```


No. 5
# SrZn2Os

A geometry-optimized SrZn2Os structure (PBE, Alexandria via LeMat-Bulk).

Computed properties:
ΔH_f (0 K)   0.13 eV per atom
Size of the total moment   0.00 μB per formula unit
Space group   No. 160

The structure in POSCAR format:
```
SrZn2Os
1.0
2.196 1.268 5.428
-2.196 1.268 5.428
0.000 -2.536 5.428
Sr Zn Os
1 2 1
direct
0.000 0.000 0.000
0.516 0.516 0.516
0.811 0.811 0.811
0.191 0.191 0.191
```


No. 6
# Sr2ZnOs

A geometry-optimized Sr2ZnOs structure (PBE, Alexandria via LeMat-Bulk).

Computed properties:
ΔH_f (0 K)   0.23 eV per atom
Size of the total moment   0.00 μB per formula unit
Space group   No. 38

The structure in POSCAR format:
```
Sr2ZnOs
1.0
4.419 0.000 0.000
0.000 2.299 5.581
0.000 -2.299 5.581
Sr Zn Os
2 1 1
direct
0.000 0.000 0.000
0.500 0.283 0.283
0.000 0.693 0.693
0.500 0.590 0.590
```


No. 7
# Sr2ZnOs

A geometry-optimized Sr2ZnOs structure (PBE, Alexandria via LeMat-Bulk).

Computed properties:
ΔH_f (0 K)   0.30 eV per atom
Size of the total moment   0.00 μB per formula unit
Space group   No. 99

The structure in POSCAR format:
```
Sr2ZnOs
1.0
3.547 0.000 0.000
0.000 3.547 0.000
0.000 0.000 8.737
Sr Zn Os
2 1 1
direct
0.000 0.000 0.000
0.500 0.500 0.420
0.000 0.000 0.668
0.500 0.500 0.755
```


No. 8
# SrZn2Os

A geometry-optimized SrZn2Os structure (PBE, Alexandria via LeMat-Bulk).

Computed properties:
ΔH_f (0 K)   0.13 eV per atom
Size of the total moment   0.00 μB per formula unit
Space group   No. 166

The structure in POSCAR format:
```
SrZn2Os
1.0
2.175 1.256 5.371
-2.175 1.256 5.371
0.000 -2.512 5.371
Sr Zn Os
1 2 1
direct
0.000 0.000 0.000
0.198 0.198 0.198
0.802 0.802 0.802
0.500 0.500 0.500
```